No. 1
Compound: Mg5Cd2Hg
Source: Alexandria via LeMat-Bulk
Functional: PBE
Structure: optimized geometry

Magnetic moment   0.00 μB per atom
Formation energy   -0.08 eV per atom
Fermi-level density of states   0.36 states/eV per atom
E above lowest polymorph   2.38 kJ per mole of atoms

Cell: 7.482 7.482 8.322 Å, 116.71 116.71 90.00°
Element x y z (fractional)
Cd 0.860 0.640 0.000
Cd 0.360 0.860 0.000
Cd 0.140 0.360 0.000
Cd 0.640 0.140 0.000
Mg 0.502 0.315 0.317
Mg 0.998 0.498 0.683
Mg 0.185 0.998 0.683
Mg 0.815 0.002 0.317
Mg 0.685 0.185 0.683
Mg 0.498 0.685 0.683
Mg 0.000 0.000 0.000
Mg 0.500 0.500 0.000
Mg 0.315 0.815 0.317
Mg 0.002 0.502 0.317
Hg 0.250 0.250 0.500
Hg 0.750 0.750 0.500


No. 2
Compound: SiBr2
Source: Alexandria via LeMat-Bulk
Functional: PBE
Structure: optimized geometry

Formation energy (no corrections)   -0.326 eV per atom
Magnetic moment   0.00 μB per atom
Fermi-level density of states   0.00 states/eV per atom

Cell: 7.764 9.311 8.112 Å, 90.00 129.17 90.00°
Element x y z (fractional)
Br 0.429 0.921 0.503
Br 0.929 0.579 0.503
Br 0.929 0.079 0.003
Br 0.993 0.082 0.492
Br 0.493 0.418 0.492
Br 0.429 0.421 0.003
Br 0.493 0.918 0.992
Br 0.993 0.582 0.992
Si 0.964 0.912 0.251
Si 0.464 0.588 0.251
Si 0.464 0.088 0.751
Si 0.964 0.412 0.751


No. 3
Compound: NaScPdPb
Source: Alexandria via LeMat-Bulk
Functional: PBE
Structure: optimized geometry

Magnetic moment   0.00 μB per atom
Formation energy   -0.30 eV per atom
Fermi-level density of states   0.40 states/eV per atom

Cell: 4.939 4.939 4.939 Å, 60.00 60.00 60.00°
Element x y z (fractional)
Pd 0.250 0.250 0.250
Na 0.000 0.000 0.000
Sc 0.500 0.500 0.500
Pb 0.750 0.750 0.750


Question: Number 3 is which compound?
Answer: NaScPdPb